No. 1
The following is a PBEsol calculation of a relaxed structure of Ta3TiHg, from Alexandria via LeMat-Bulk.

It has space group Pm-3m (No. 221), with a = 4.636 Å, b = 4.636 Å, c = 4.636 Å, α = 90.00°, β = 90.00° and γ = 90.00°. The inequivalent atoms are Ta at (0.000, 0.000, 0.500), Ti at (0.000, 0.000, 0.000) and Hg at (0.500, 0.500, 0.500).

As for the energy of formation from the pure elements: 1.398 eV/atom.



No. 2
The following is a PBEsol calculation of a relaxed structure of CdCu2Br, from Alexandria via LeMat-Bulk.

It has space group Cmmm (No. 65), with a = 3.262 Å, b = 5.604 Å, c = 7.903 Å, α = 90.00°, β = 90.00° and γ = 90.00°. The inequivalent atoms are Cd at (0.000, 0.000, 0.000), Cu at (0.000, 0.500, 0.257) and Br at (0.000, 0.000, 0.500).

The calculation puts the energy above the most stable polymorph in this dataset at 206.0 meV per atom. The formation energy without anion corrections is 0.2826 eV per atom.



No. 3
The following is a PBEsol calculation of a relaxed structure of KZr2Ni, from Alexandria via LeMat-Bulk.

It has space group Pmmm (No. 47), with a = 3.145 Å, b = 5.125 Å, c = 5.151 Å, α = 90.00°, β = 90.00° and γ = 90.00°. The inequivalent atoms are K at (0.000, 0.000, 0.000), Zr at (0.000, 0.500, 0.500), Zr at (0.500, 0.000, 0.500) and Ni at (0.500, 0.500, 0.000).

As for the energy of formation from the pure elements: 0.873 eV/atom. The calculation puts the energy above the most stable polymorph in this dataset at 589.5 meV per atom.



No. 4
The following is a PBEsol calculation of a relaxed structure of Sc5Ir3, from Alexandria via LeMat-Bulk.

It has space group I4/mcm (No. 140), with a = 10.263 Å, b = 10.263 Å, c = 5.580 Å, α = 90.00°, β = 90.00° and γ = 90.00°. The inequivalent atoms are Sc at (0.000, 0.500, 0.250), Sc at (0.079, 0.213, 0.000), Ir at (0.000, 0.000, 0.250) and Ir at (0.159, 0.341, 0.500).

As for the energy of formation from the pure elements: -0.779 eV/atom. The calculation puts the energy above the most stable polymorph in this dataset at 19.2 meV per atom.



E per entry: -7.91, -2.65, -5.49, -8.59 eV/atom
Total magnetization per entry: 0.00, 0.00, 0.00, 0.00 Bohr magnetons per cell